1:
Compound: Sr2CaZr
Source: the Alexandria database
Functional: SCAN
Structure: PBEsol geometry

CIF file:
```
data_Sr2CaZr
_chemical_formula_sum 'Sr8 Ca4 Zr4'
_symmetry_space_group_name_H-M 'F m -3 m'
_symmetry_Int_Tables_number 225
_symmetry_space_group_name_Hall '-F 4 2 3'
_cell_length_a 8.356
_cell_length_b 8.356
_cell_length_c 8.356
_cell_angle_alpha 90.00
_cell_angle_beta 90.00
_cell_angle_gamma 90.00
loop_
_atom_site_label
_atom_site_type_symbol
_atom_site_fract_x
_atom_site_fract_y
_atom_site_fract_z
Sr1 Sr 0.250 0.250 0.250
Ca1 Ca 0.000 0.000 0.000
Zr1 Zr 0.000 0.000 0.500
```

Results
V (Å³/cell): 583.5



2:
Compound: Sr2CaZr
Source: the Alexandria database
Functional: SCAN
Structure: PBEsol geometry

CIF file:
```
data_Sr2CaZr
_chemical_formula_sum 'Sr2 Ca1 Zr1'
_symmetry_space_group_name_H-M 'P m m m'
_symmetry_Int_Tables_number 47
_cell_length_a 3.652
_cell_length_b 5.373
_cell_length_c 7.545
_cell_angle_alpha 90.00
_cell_angle_beta 90.00
_cell_angle_gamma 90.00
loop_
_symmetry_equiv_pos_as_xyz
'x,y,z'
'-x,-y,-z'
'-x,-y,z'
'x,y,-z'
'x,-y,-z'
'-x,y,z'
'-x,y,-z'
'x,-y,z'
loop_
_atom_site_label
_atom_site_type_symbol
_atom_site_fract_x
_atom_site_fract_y
_atom_site_fract_z
Sr1 Sr 0.000 0.000 0.231
Ca1 Ca 0.500 0.500 0.500
Zr1 Zr 0.500 0.500 0.000
```

Results
V (Å³/cell): 148.1



The structure with the least stability is 1.



1:
Compound: CaTaW2
Source: the Alexandria database
Functional: SCAN
Structure: PBEsol geometry

CIF file:
```
data_CaTaW2
_chemical_formula_sum 'Ca1 Ta1 W2'
_symmetry_space_group_name_H-M 'P m m m'
_symmetry_Int_Tables_number 47
_cell_length_a 3.167
_cell_length_b 4.718
_cell_length_c 4.746
_cell_angle_alpha 90.00
_cell_angle_beta 90.00
_cell_angle_gamma 90.00
loop_
_symmetry_equiv_pos_as_xyz
'x,y,z'
'-x,-y,-z'
'-x,-y,z'
'x,y,-z'
'x,-y,-z'
'-x,y,z'
'-x,y,-z'
'x,-y,z'
loop_
_atom_site_label
_atom_site_type_symbol
_atom_site_fract_x
_atom_site_fract_y
_atom_site_fract_z
Ca1 Ca 0.000 0.000 0.000
Ta1 Ta 0.500 0.500 0.000
W1 W 0.000 0.500 0.500
W2 W 0.500 0.000 0.500
```

Results
V (Å³/cell): 70.9



2:
Compound: CaTaW2
Source: the Alexandria database
Functional: SCAN
Structure: PBEsol geometry

CIF file:
```
data_CaTaW2
_chemical_formula_sum 'Ca1 Ta1 W2'
_symmetry_space_group_name_H-M 'P 4/m m m'
_symmetry_Int_Tables_number 123
_symmetry_space_group_name_Hall '-P 4 2'
_cell_length_a 5.010
_cell_length_b 5.010
_cell_length_c 2.877
_cell_angle_alpha 90.00
_cell_angle_beta 90.00
_cell_angle_gamma 90.00
loop_
_atom_site_label
_atom_site_type_symbol
_atom_site_fract_x
_atom_site_fract_y
_atom_site_fract_z
Ca1 Ca 0.000 0.000 0.000
Ta1 Ta 0.500 0.500 0.000
W1 W 0.000 0.500 0.500
```

Results
V (Å³/cell): 72.2



The structure with the least stability is 2.



1:
Compound: CaTaW
Source: the Alexandria database
Functional: SCAN
Structure: PBEsol geometry

CIF file:
```
data_CaTaW
_chemical_formula_sum 'Ca1 Ta1 W1'
_symmetry_space_group_name_H-M 'P 3 m 1'
_symmetry_Int_Tables_number 156
_cell_length_a 2.8946
_cell_length_b 2.8946
_cell_length_c 7.9593
_cell_angle_alpha 90.00
_cell_angle_beta 90.00
_cell_angle_gamma 120.00
loop_
_symmetry_equiv_pos_as_xyz
'x,y,z'
'-y,x-y,z'
'-x+y,-x,z'
'-y,-x,z'
'-x+y,y,z'
'x,x-y,z'
loop_
_atom_site_label
_atom_site_type_symbol
_atom_site_fract_x
_atom_site_fract_y
_atom_site_fract_z
Ca1 Ca 0.0000 0.0000 0.0000
Ta1 Ta 0.3333 0.6667 0.6409
W1 W 0.6667 0.3333 0.3347
```

Results
V (Å³/cell): 57.8



2:
Compound: CaTaW
Source: the Alexandria database
Functional: SCAN
Structure: PBEsol geometry

CIF file:
```
data_CaTaW
_chemical_formula_sum 'Ca2 Ta2 W2'
_symmetry_space_group_name_H-M 'I m m 2'
_symmetry_Int_Tables_number 44
_cell_length_a 2.726
_cell_length_b 4.424
_cell_length_c 10.167
_cell_angle_alpha 90.00
_cell_angle_beta 90.00
_cell_angle_gamma 90.00
loop_
_symmetry_equiv_pos_as_xyz
'x,y,z'
'-x,-y,z'
'-x,y,z'
'x,-y,z'
'x+1/2,y+1/2,z+1/2'
'-x+1/2,-y+1/2,z+1/2'
'-x+1/2,y+1/2,z+1/2'
'x+1/2,-y+1/2,z+1/2'
loop_
_atom_site_label
_atom_site_type_symbol
_atom_site_fract_x
_atom_site_fract_y
_atom_site_fract_z
Ca1 Ca 0.000 0.000 0.000
Ta1 Ta 0.000 0.000 0.696
W1 W 0.000 0.000 0.312
```

Results
V (Å³/cell): 122.6



The structure with the least stability is 1.